[1]
Compound: DyU3In3Te8
Source: Alexandria via LeMat-Bulk
Functional: PBE-GGA
Structure: optimized geometry

Output
* formation energy (no corrections): -9.38 eV per formula unit

a b c (Å): 8.7062 8.7095 9.6626
angles (deg): 116.81 90.00 120.01
Last column: nearest neighbours and their distance in Å.
Atoms (fractional coordinates):
In  0.0000  0.0000  0.0000  6 Te 3.40-3.42
U  0.5000  0.5000  0.5000  6 Te 3.09-3.11
U  0.5000  0.0000  0.5000  6 Te 3.09-3.11
Te  0.7404  0.4813  0.7226  3 U 3.11-3.12, 3 In 3.40
Te  0.2596  0.5187  0.2774  3 U 3.11-3.12, 3 In 3.40
Te  0.2402  0.9797  0.7193  2 U 3.09-3.10, 1 Dy 3.10, 2 In 3.42
Te  0.2403  0.4804  0.7194  2 U 3.09-3.10, 1 Dy 3.10, 2 In 3.42
In  0.0000  0.5000  0.0000  6 Te 3.40-3.42
In  0.5000  0.5000  0.0000  6 Te 3.40-3.42
U  0.0000  0.5000  0.5000  6 Te 3.10-3.12
Te  0.7396  0.9797  0.7192  2 U 3.10, 1 Dy 3.10, 2 In 3.42
Te  0.2604  0.0203  0.2808  2 U 3.10, 1 Dy 3.10, 2 In 3.42
Te  0.7597  0.5196  0.2806  2 U 3.09-3.10, 1 Dy 3.10, 2 In 3.42
Te  0.7598  0.0203  0.2807  2 U 3.09-3.10, 1 Dy 3.10, 2 In 3.42
Dy  0.0000  0.0000  0.5000  6 Te 3.10



[2]
Compound: Dy2UIn3Te6
Source: Alexandria via LeMat-Bulk
Functional: PBE-GGA
Structure: optimized geometry

Output
* formation energy (no corrections): -9.39 eV per formula unit

a b c (Å): 7.6326 7.6326 8.5623
angles (deg): 98.55 98.55 119.98
Last column: nearest neighbours and their distance in Å.
Atoms (fractional coordinates):
Te  0.4101  0.0735  0.2205  2 Dy 3.11, 1 U 3.14, 3 In 3.41-3.43
Te  0.5899  0.9265  0.7795  2 Dy 3.11, 1 U 3.14, 3 In 3.41-3.43
Te  0.7366  0.7366  0.2196  2 Dy 3.11, 1 U 3.13, 3 In 3.41-3.42
U  0.0000  0.0000  0.0000  6 Te 3.13-3.14
Dy  0.3331  0.6669  0.0000  6 Te 3.11
Dy  0.6669  0.3331  0.0000  6 Te 3.11
In  0.8346  0.1654  0.5000  6 Te 3.41-3.43
Te  0.9265  0.5899  0.7795  2 Dy 3.11, 1 U 3.14, 3 In 3.41-3.43
In  0.5000  0.5000  0.5000  6 Te 3.41-3.43
Te  0.0735  0.4101  0.2205  2 Dy 3.11, 1 U 3.14, 3 In 3.41-3.43
Te  0.2634  0.2634  0.7804  2 Dy 3.11, 1 U 3.13, 3 In 3.41-3.42
In  0.1654  0.8346  0.5000  6 Te 3.41-3.43



[3]
Compound: DyUIn2Te4
Source: Alexandria via LeMat-Bulk
Functional: PBE-GGA
Structure: optimized geometry

Output
* formation energy (no corrections): -5.53 eV per formula unit

a b c (Å): 4.3862 7.6047 8.5880
angles (deg): 107.08 90.00 90.00
Last column: nearest neighbours and their distance in Å.
Atoms (fractional coordinates):
Dy  0.5000  0.5000  0.0000  6 Te 3.10-3.11
Te  0.0000  0.7376  0.2198  2 Dy 3.10, 1 U 3.12, 3 In 3.41-3.43
In  0.0000  0.5000  0.5000  6 Te 3.41
In  0.5000  0.0000  0.5000  6 Te 3.42-3.43
Te  0.5000  0.2423  0.2215  1 Dy 3.11, 2 U 3.12, 3 In 3.41-3.42
Te  0.5000  0.7577  0.7785  1 Dy 3.11, 2 U 3.12, 3 In 3.41-3.42
U  0.0000  0.0000  0.0000  6 Te 3.12
Te  0.0000  0.2624  0.7802  2 Dy 3.10, 1 U 3.12, 3 In 3.41-3.43



[4]
Compound: DyY2In3Te6
Source: Alexandria via LeMat-Bulk
Functional: PBE-GGA
Structure: optimized geometry

Output
* formation energy (no corrections): -11.77 eV per formula unit

a b c (Å): 7.6431 7.6431 8.5022
angles (deg): 98.62 98.62 120.00
Last column: nearest neighbours and their distance in Å.
Atoms (fractional coordinates):
In  0.1668  0.8332  0.5000  6 Te 3.42
In  0.8332  0.1668  0.5000  6 Te 3.42
Te  0.7403  0.7403  0.2194  1 Dy 3.10, 2 Y 3.11, 3 In 3.42
In  0.5000  0.5000  0.5000  6 Te 3.42
Te  0.0731  0.4060  0.2193  1 Dy 3.10, 2 Y 3.11, 3 In 3.42
Te  0.5940  0.9269  0.7807  1 Dy 3.10, 2 Y 3.11, 3 In 3.42
Te  0.2597  0.2597  0.7806  1 Dy 3.10, 2 Y 3.11, 3 In 3.42
Dy  0.0000  0.0000  0.0000  6 Te 3.10
Te  0.9269  0.5940  0.7807  1 Dy 3.10, 2 Y 3.11, 3 In 3.42
Y  0.3334  0.6666  0.0000  6 Te 3.11
Te  0.4060  0.0731  0.2193  1 Dy 3.10, 2 Y 3.11, 3 In 3.42
Y  0.6666  0.3334  0.0000  6 Te 3.11



[5]
Compound: DyY3In3Te8
Source: Alexandria via LeMat-Bulk
Functional: PBE-GGA
Structure: optimized geometry

Output
* formation energy (no corrections): -15.28 eV per formula unit

a b c (Å): 8.7697 8.7679 9.3665
angles (deg): 117.91 90.01 120.01
Last column: nearest neighbours and their distance in Å.
Atoms (fractional coordinates):
Te  0.7410  0.9832  0.7254  2 Y 3.09, 1 Dy 3.10, 2 In 3.33
Te  0.7577  0.0167  0.2745  2 Y 3.09, 1 Dy 3.10, 2 In 3.33
Te  0.7577  0.5155  0.2747  2 Y 3.09, 1 Dy 3.10, 2 In 3.33
Dy  0.0000  0.0000  0.5000  6 Te 3.10
Te  0.7425  0.4847  0.7272  3 Y 3.10, 3 In 3.32
Y  0.5000  0.5000  0.5000  6 Te 3.09-3.10
Te  0.2423  0.9833  0.7255  2 Y 3.09, 1 Dy 3.10, 2 In 3.33
In  0.0000  0.0000  0.0000  6 Te 3.32-3.33
In  0.5000  0.5000  0.0000  6 Te 3.32-3.33
Y  0.0000  0.5000  0.5000  6 Te 3.09-3.10
Te  0.2590  0.0168  0.2746  2 Y 3.09, 1 Dy 3.10, 2 In 3.33
Y  0.5000  0.0000  0.5000  6 Te 3.09-3.10
Te  0.2575  0.5153  0.2728  3 Y 3.10, 3 In 3.32
In  0.0000  0.5000  0.0000  6 Te 3.32-3.33
Te  0.2423  0.4845  0.7253  2 Y 3.09, 1 Dy 3.10, 2 In 3.33



[6]
Compound: DyTh2In3
Source: Alexandria via LeMat-Bulk
Functional: PBE-GGA
Structure: optimized geometry

Output
* DFT formation energy: -112 meV/atom
* energy above the lowest structure with this stoichiometry: 231.8 meV/atom

a b c (Å): 5.9899 7.7157 7.7157
angles (deg): 96.15 90.00 90.00
Last column: nearest neighbours and their distance in Å.
Atoms (fractional coordinates):
Th  0.7500  0.1410  0.4045  1 Th 3.03, 4 In 3.24-3.35
Th  0.2500  0.5955  0.8590  1 Th 3.03, 4 In 3.24-3.35
Th  0.7500  0.4045  0.1410  1 Th 3.03, 4 In 3.24-3.35
In  0.5000  0.2230  0.7770  2 In 2.99, 2 Dy 3.16, 4 Th 3.24-3.35
In  0.7500  0.5805  0.5805  1 Dy 3.23, 6 In 3.42-3.61, 2 Th 3.51
In  0.0000  0.7770  0.2230  2 In 2.99, 2 Dy 3.16, 4 Th 3.24-3.35
In  0.2500  0.4195  0.4195  1 Dy 3.23, 6 In 3.42-3.61, 2 Th 3.51
Th  0.2500  0.8590  0.5955  1 Th 3.03, 4 In 3.24-3.35
Dy  0.7500  0.8934  0.8934  5 In 3.16-3.23
Dy  0.2500  0.1066  0.1066  5 In 3.16-3.23
In  0.0000  0.2230  0.7770  2 In 2.99, 2 Dy 3.16, 4 Th 3.24-3.35
In  0.5000  0.7770  0.2230  2 In 2.99, 2 Dy 3.16, 4 Th 3.24-3.35